[1]
Entry from the Alexandria database: an optimized crystal structure of Be2TlCd (PBE-GGA).

Lattice parameters (Å, degrees): 5.650 8.584 3.436 90.00 116.63 90.00
Space group C2/m (No. 12)
Inequivalent atoms, fractional coordinates:
Be 0.250 0.250 0.000 (multiplicity 4)
Tl 0.000 0.000 0.000 (multiplicity 2)
Cd 0.000 0.500 0.000 (multiplicity 2)

Output
- M_tot (μB per cell) = 0.0
- ΔE to the lowest computed polymorph (eV per atom) = 0.263
- formation energy (eV per atom) = 0.73


[2]
Entry from the Alexandria database: an optimized crystal structure of BaPb3N (PBE-GGA).

Lattice parameters (Å, degrees): 5.252 5.252 5.252 90.00 90.00 90.00
Space group Pm-3m (No. 221)
Inequivalent atoms, fractional coordinates:
Ba 0.000 0.000 0.000 (multiplicity 1)
Pb 0.000 0.500 0.500 (multiplicity 3)
N 0.500 0.500 0.500 (multiplicity 1)

Output
- M_tot (μB per cell) = 0.4
- ΔE to the lowest computed polymorph (eV per atom) = 0.000


[3]
Entry from the Alexandria database: an optimized crystal structure of Th2Mg2Ir15 (PBE-GGA).

Lattice parameters (Å, degrees): 9.1117 9.1117 13.4029 90.00 90.00 120.00
Space group R-3m (No. 166, hexagonal axes)
Inequivalent atoms, fractional coordinates:
Th 0.0000 0.0000 0.1507 (multiplicity 6)
Mg 0.0000 0.0000 0.3979 (multiplicity 6)
Ir 0.0000 0.2986 0.5000 (multiplicity 18)
Ir 0.0000 0.5000 0.0000 (multiplicity 9)
Ir 0.0005 0.5003 0.3507 (multiplicity 18)

Output
- M_tot (μB per cell) = 0.0
- formation energy (eV per atom) = -0.34


[4]
Entry from the Alexandria database: an optimized crystal structure of AsAuN (PBE-GGA).

Lattice parameters (Å, degrees): 6.794 4.726 11.235 90.00 104.00 90.00
Space group C2/m (No. 12)
Inequivalent atoms, fractional coordinates:
As 0.047 0.000 0.112 (multiplicity 4)
Au 0.184 0.500 0.133 (multiplicity 4)
N 0.055 0.500 0.471 (multiplicity 4)

Output
- M_tot (μB per cell) = 0.0
- ΔE to the lowest computed polymorph (eV per atom) = 0.000


[5]
Entry from the Alexandria database: an optimized crystal structure of GeIr3Pb (PBE-GGA).

Lattice parameters (Å, degrees): 5.004 5.004 5.004 90.00 90.00 90.00
Space group Pm-3m (No. 221)
Inequivalent atoms, fractional coordinates:
Ge 0.000 0.000 0.000 (multiplicity 1)
Ir 0.000 0.500 0.500 (multiplicity 3)
Pb 0.500 0.500 0.500 (multiplicity 1)

Output
- M_tot (μB per cell) = 1.1
- ΔE to the lowest computed polymorph (eV per atom) = 1.266
- formation energy (eV per atom) = 2.17


[6]
Entry from the Alexandria database: an optimized crystal structure of Ho6ErAg (PBE-GGA).

Lattice parameters (Å, degrees): 9.2168 9.2168 9.7069 90.00 90.00 120.00
Space group R-3 (No. 148, hexagonal axes)
Inequivalent atoms, fractional coordinates:
Ho 0.0299 0.7771 0.2083 (multiplicity 18)
Er 0.0000 0.0000 0.5000 (multiplicity 3)
Ag 0.0000 0.0000 0.0000 (multiplicity 3)

Output
- M_tot (μB per cell) = 0.0
- formation energy (eV per atom) = 0.05


[7]
Entry from the Alexandria database: an optimized crystal structure of Ba2InPd (PBE-GGA).

Lattice parameters (Å, degrees): 8.385 4.780 8.904 90.00 107.95 90.00
Space group Cm (No. 8)
Inequivalent atoms, fractional coordinates:
Ba 0.000 0.000 0.000 (multiplicity 2)
Ba 0.167 0.000 0.511 (multiplicity 2)
In 0.415 0.000 0.256 (multiplicity 2)
Pd 0.247 0.500 0.256 (multiplicity 2)

Output
- M_tot (μB per cell) = 0.0
- formation energy (eV per atom) = -0.46


[8]
Entry from the Alexandria database: an optimized crystal structure of ScRe2Br (PBE-GGA).

Lattice parameters (Å, degrees): 3.124 3.110 7.871 90.00 101.37 90.00
Space group Pm (No. 6)
Inequivalent atoms, fractional coordinates:
Sc 0.000 0.000 0.000 (multiplicity 1)
Re 0.212 0.000 0.426 (multiplicity 1)
Re 0.624 0.500 0.249 (multiplicity 1)
Br 0.370 0.500 0.742 (multiplicity 1)

Output
- M_tot (μB per cell) = 0.0
- ΔE to the lowest computed polymorph (eV per atom) = 0.000


[9]
Entry from the Alexandria database: an optimized crystal structure of MgPW2 (PBE-GGA).

Lattice parameters (Å, degrees): 3.941 3.941 7.831 90.00 90.00 90.00
Space group I-4m2 (No. 119)
Inequivalent atoms, fractional coordinates:
Mg 0.000 0.000 0.000 (multiplicity 2)
P 0.000 0.500 0.750 (multiplicity 2)
W 0.000 0.000 0.500 (multiplicity 2)
W 0.000 0.500 0.250 (multiplicity 2)

Output
- M_tot (μB per cell) = 0.0
- ΔE to the lowest computed polymorph (eV per atom) = 0.297
- formation energy (eV per atom) = 0.39


[10]
Entry from the Alexandria database: an optimized crystal structure of La2YInO6 (PBE-GGA).

Lattice parameters (Å, degrees): 5.839 6.055 10.262 90.00 124.11 90.00
Space group P2_1/c (No. 14)
Inequivalent atoms, fractional coordinates:
La 0.232 0.051 0.249 (multiplicity 4)
Y 0.500 0.000 0.000 (multiplicity 2)
In 0.000 0.000 0.500 (multiplicity 2)
O 0.123 0.199 0.934 (multiplicity 4)
O 0.232 0.695 0.932 (multiplicity 4)
O 0.374 0.057 0.747 (multiplicity 4)

Output
- M_tot (μB per cell) = 0.0
- E_tot (eV per cell) = -157.35


[11]
Entry from the Alexandria database: an optimized crystal structure of La5NpN8 (PBE-GGA).

Lattice parameters (Å, degrees): 7.556 7.556 7.915 90.00 90.00 90.00
Space group I-4 (No. 82)
Inequivalent atoms, fractional coordinates:
La 0.000 0.000 0.000 (multiplicity 2)
La 0.129 0.740 0.622 (multiplicity 8)
Np 0.000 0.500 0.250 (multiplicity 2)
N 0.051 0.759 0.296 (multiplicity 8)
N 0.064 0.685 0.929 (multiplicity 8)

Output
- M_tot (μB per cell) = 2.8
- E_tot (eV per cell) = -234.73


[12]
Entry from the Alexandria database: an optimized crystal structure of ZrScP3 (PBE-GGA).

Lattice parameters (Å, degrees): 4.937 4.937 4.937 90.00 90.00 90.00
Space group Pm-3m (No. 221)
Inequivalent atoms, fractional coordinates:
Zr 0.000 0.000 0.000 (multiplicity 1)
Sc 0.500 0.500 0.500 (multiplicity 1)
P 0.000 0.000 0.500 (multiplicity 3)

Output
- M_tot (μB per cell) = 0.0
- ΔE to the lowest computed polymorph (eV per atom) = 0.000
- formation energy (eV per atom) = 0.04


[13]
Entry from the Alexandria database: an optimized crystal structure of Cr2RhC (PBE-GGA).

Lattice parameters (Å, degrees): 6.407 6.407 4.431 90.00 90.00 90.00
Space group I-42d (No. 122)
Inequivalent atoms, fractional coordinates:
Cr 0.151 0.250 0.125 (multiplicity 8)
Rh 0.000 0.000 0.500 (multiplicity 4)
C 0.000 0.000 0.000 (multiplicity 4)

Output
- M_tot (μB per cell) = 0.0
- formation energy (eV per atom) = 0.28


[14]
Entry from the Alexandria database: an optimized crystal structure of Cs2CrRuBr6 (PBE-GGA).

Lattice parameters (Å, degrees): 7.527 7.527 10.637 90.00 90.00 90.00
Space group I4/mmm (No. 139)
Inequivalent atoms, fractional coordinates:
Cs 0.000 0.500 0.250 (multiplicity 4)
Cr 0.000 0.000 0.000 (multiplicity 2)
Ru 0.000 0.000 0.500 (multiplicity 2)
Br 0.000 0.000 0.255 (multiplicity 4)
Br 0.245 0.245 0.500 (multiplicity 8)

Output
- M_tot (μB per cell) = 8.0
- E_tot (eV per cell) = -78.05


[15]
Entry from the Alexandria database: an optimized crystal structure of CsNa3Hg4Br12 (PBE-GGA).

Lattice parameters (Å, degrees): 15.6513 15.6513 11.5078 90.00 90.00 120.00
Space group R32 (No. 155, hexagonal axes)
Inequivalent atoms, fractional coordinates:
Cs 0.0000 0.0000 0.0000 (multiplicity 3)
Na 0.0000 0.5549 0.0000 (multiplicity 9)
Hg 0.0000 0.0000 0.5000 (multiplicity 3)
Hg 0.0000 0.4385 0.5000 (multiplicity 9)
Br 0.0000 0.6039 0.5000 (multiplicity 9)
Br 0.0000 0.8351 0.5000 (multiplicity 9)
Br 0.0590 0.2261 0.1644 (multiplicity 18)

Output
- M_tot (μB per cell) = 0.0
- E_tot (eV per cell) = -131.46


[16]
Entry from the Alexandria database: an optimized crystal structure of U3Se5 (PBE-GGA).

Lattice parameters (Å, degrees): 6.701 15.539 7.756 90.00 103.53 90.00
Space group C2/m (No. 12)
Inequivalent atoms, fractional coordinates:
U 0.000 0.157 0.000 (multiplicity 4)
U 0.000 0.247 0.500 (multiplicity 4)
U 0.061 0.500 0.307 (multiplicity 4)
Se 0.175 0.312 0.200 (multiplicity 8)
Se 0.224 0.107 0.376 (multiplicity 8)
Se 0.238 0.000 0.980 (multiplicity 4)

Output
- M_tot (μB per cell) = 11.0
- ΔE to the lowest computed polymorph (eV per atom) = 0.001


[17]
Entry from the Alexandria database: an optimized crystal structure of InCuRe2 (PBE-GGA).

Lattice parameters (Å, degrees): 3.102 4.384 9.228 90.00 90.00 90.00
Space group Immm (No. 71)
Inequivalent atoms, fractional coordinates:
In 0.000 0.000 0.000 (multiplicity 2)
Cu 0.000 0.000 0.500 (multiplicity 2)
Re 0.000 0.500 0.241 (multiplicity 4)

Output
- M_tot (μB per cell) = 0.0
- formation energy (eV per atom) = 0.48


[18]
Entry from the Alexandria database: an optimized crystal structure of CrIn2Cl4 (PBE-GGA).

Lattice parameters (Å, degrees): 4.998 4.998 15.723 90.00 90.00 90.00
Space group I4/mmm (No. 139)
Inequivalent atoms, fractional coordinates:
Cr 0.000 0.000 0.000 (multiplicity 2)
In 0.000 0.000 0.359 (multiplicity 4)
Cl 0.000 0.000 0.155 (multiplicity 4)
Cl 0.000 0.500 0.000 (multiplicity 4)

Output
- M_tot (μB per cell) = 8.0
- ΔE to the lowest computed polymorph (eV per atom) = 0.000


[19]
Entry from the Alexandria database: an optimized crystal structure of Ca2LaCdPd (PBE-GGA).

Lattice parameters (Å, degrees): 5.595 5.595 5.568 90.00 90.00 90.00
Space group P4/mmm (No. 123)
Inequivalent atoms, fractional coordinates:
Ca 0.000 0.500 0.000 (multiplicity 2)
La 0.000 0.000 0.500 (multiplicity 1)
Cd 0.500 0.500 0.500 (multiplicity 1)
Pd 0.000 0.000 0.000 (multiplicity 1)

Output
- M_tot (μB per cell) = 0.0
- formation energy (eV per atom) = -0.30


[20]
Entry from the Alexandria database: an optimized crystal structure of La3Nd2Y4 (PBE-GGA).

Lattice parameters (Å, degrees): 15.899 3.655 10.945 90.00 102.96 90.00
Space group C2/m (No. 12)
Inequivalent atoms, fractional coordinates:
La 0.000 0.000 0.000 (multiplicity 2)
La 0.166 0.500 0.556 (multiplicity 4)
Nd 0.167 0.500 0.221 (multiplicity 4)
Y 0.001 0.000 0.669 (multiplicity 4)
Y 0.166 0.500 0.889 (multiplicity 4)

Output
- M_tot (μB per cell) = 0.0
- ΔE to the lowest computed polymorph (eV per atom) = 0.000
- formation energy (eV per atom) = 0.02